The following is a DFT calculation (PBE) of a geometry-optimized Cr2Ge2Sb structure.

Cell and atoms, written as CIF:
```
data_Cr2Ge2Sb
_chemical_formula_sum 'Cr4 Ge4 Sb2'
_cell_length_a 7.105
_cell_length_b 7.105
_cell_length_c 3.112
_cell_angle_alpha 90.00
_cell_angle_beta 90.00
_cell_angle_gamma 90.00
_space_group_name_H-M_alt 'P 4/m b m'
_space_group_IT_number 127
_space_group_name_Hall '-P 4 2ab'
loop_
_atom_site_label
_atom_site_fract_x
_atom_site_fract_y
_atom_site_fract_z
Cr1 0.150 0.350 0.000
Ge1 0.139 0.639 0.500
Sb1 0.000 0.000 0.000
```

Calculated values
Formation energy (no corrections) in eV per atom: 0.29
Distance to the lowest polymorph of the same formula in eV/atom: 0.093

---

The following is a DFT calculation (PBE) of a geometry-optimized Ca2Tl2Cd3 structure.

Cell and atoms, written as CIF:
```
data_Ca2Tl2Cd3
_chemical_formula_sum 'Ca4 Tl4 Cd6'
_cell_length_a 11.543
_cell_length_b 4.297
_cell_length_c 7.884
_cell_angle_alpha 90.00
_cell_angle_beta 93.69
_cell_angle_gamma 90.00
_space_group_name_H-M_alt 'C 1 2/m 1'
_space_group_IT_number 12
_space_group_name_Hall '-C 2y'
loop_
_atom_site_label
_atom_site_fract_x
_atom_site_fract_y
_atom_site_fract_z
Ca1 0.117 0.000 0.310
Tl1 0.105 0.500 0.642
Cd1 0.000 0.500 0.000
Cd2 0.191 0.000 0.895
```

Calculated values
Distance to the lowest polymorph of the same formula in eV/atom: 0.039
Calculated formation energy in eV/atom: -0.213

---

The following is a DFT calculation (PBE) of a geometry-optimized ZnNiBi2H structure.

Cell and atoms, written as CIF:
```
data_ZnNiBi2H
_chemical_formula_sum 'Zn1 Ni1 Bi2 H1'
_cell_length_a 5.061
_cell_length_b 5.061
_cell_length_c 4.609
_cell_angle_alpha 90.00
_cell_angle_beta 90.00
_cell_angle_gamma 90.00
_space_group_name_H-M_alt 'P 4/m m m'
_space_group_IT_number 123
_space_group_name_Hall '-P 4 2'
loop_
_atom_site_label
_atom_site_fract_x
_atom_site_fract_y
_atom_site_fract_z
Zn1 0.000 0.000 0.000
Ni1 0.000 0.000 0.500
Bi1 0.000 0.500 0.500
H1 0.500 0.500 0.000
```

Calculated values
Uncorrected energy in eV/cell: -15.17

---

The following is a DFT calculation (PBE) of a geometry-optimized CaPrEr4 structure.

Cell and atoms, written as CIF:
```
data_CaPrEr4
_chemical_formula_sum 'Ca4 Pr4 Er16'
_cell_length_a 9.407
_cell_length_b 9.407
_cell_length_c 9.407
_cell_angle_alpha 90.00
_cell_angle_beta 90.00
_cell_angle_gamma 90.00
_space_group_name_H-M_alt 'F -4 3 m'
_space_group_IT_number 216
_space_group_name_Hall 'F -4 2 3'
loop_
_atom_site_label
_atom_site_fract_x
_atom_site_fract_y
_atom_site_fract_z
Ca1 0.000 0.000 0.000
Pr1 0.250 0.250 0.250
Er1 0.124 0.124 0.624
```

Calculated values
Calculated formation energy in eV/atom: 0.218